VASP calculation (PBE-GGA) on crystalline SrLuAg at its relaxed geometry.

Cell: 3.725 3.725 7.158 Å, 105.08 105.08 90.00°
Atoms (fractional coordinates):
Ag  0.687  0.687  0.375
Lu  0.295  0.295  0.589
Sr  0.018  0.018  0.036

Values from the calculation:
The space group is I4mm, No. 107. The total energy is -9.42 eV per formula unit. The calculation puts the energy relative to the elements at -0.36 eV per formula unit.